*i*
# EuScIn2 | Alexandria | PBE | optimized geometry
data_EuScIn2
_chemical_formula_sum 'Eu1 Sc1 In2'
_cell_length_a 3.7300
_cell_length_b 5.3217
_cell_length_c 5.3217
_cell_angle_alpha 90.00
_cell_angle_beta 90.00
_cell_angle_gamma 90.00
_symmetry_space_group_name_H-M 'P 1'
_symmetry_Int_Tables_number 1
loop_
_symmetry_equiv_pos_as_xyz
'x,y,z'
loop_
_atom_site_label
_atom_site_fract_x
_atom_site_fract_y
_atom_site_fract_z
Sc1 0.5000 0.0000 0.0000
In1 0.0000 0.5000 0.0000
In2 0.0000 0.0000 0.5000
Eu1 0.5000 0.5000 0.5000
# SG: P4/mmm, No. 123
# calculated density: 6.7 g cm⁻³

***

*ii*
# EuScIn2 | Alexandria | PBE | optimized geometry
data_EuScIn2
_chemical_formula_sum 'Eu1 Sc1 In2'
_cell_length_a 5.2952
_cell_length_b 5.2952
_cell_length_c 5.2952
_cell_angle_alpha 60.00
_cell_angle_beta 60.00
_cell_angle_gamma 60.00
_symmetry_space_group_name_H-M 'P 1'
_symmetry_Int_Tables_number 1
loop_
_symmetry_equiv_pos_as_xyz
'x,y,z'
loop_
_atom_site_label
_atom_site_fract_x
_atom_site_fract_y
_atom_site_fract_z
In1 0.7500 0.7500 0.7500
In2 0.2500 0.2500 0.2500
Sc1 0.5000 0.5000 0.5000
Eu1 0.0000 0.0000 0.0000
# SG: Fm-3m, No. 225
# calculated density: 6.7 g cm⁻³

***

*iii*
# EuScIn2 | Alexandria | PBE | optimized geometry
data_EuScIn2
_chemical_formula_sum 'Eu1 Sc1 In2'
_cell_length_a 3.7216
_cell_length_b 3.7216
_cell_length_c 7.5920
_cell_angle_alpha 90.00
_cell_angle_beta 90.00
_cell_angle_gamma 90.00
_symmetry_space_group_name_H-M 'P 1'
_symmetry_Int_Tables_number 1
loop_
_symmetry_equiv_pos_as_xyz
'x,y,z'
loop_
_atom_site_label
_atom_site_fract_x
_atom_site_fract_y
_atom_site_fract_z
Sc1 0.5000 0.5000 0.0000
Eu1 0.5000 0.5000 0.5000
In1 0.0000 0.0000 0.7834
In2 0.0000 0.0000 0.2166
# SG: P4/mmm, No. 123
# calculated density: 6.7 g cm⁻³

***

What is the stability order? It is *iii*, *ii*, *i*, from most stable to least stable.

***

*i*
# SmEu2In | Alexandria | PBE | optimized geometry
data_SmEu2In
_chemical_formula_sum 'Sm1 Eu2 In1'
_cell_length_a 5.6821
_cell_length_b 5.6821
_cell_length_c 5.6821
_cell_angle_alpha 60.00
_cell_angle_beta 60.00
_cell_angle_gamma 60.00
_symmetry_space_group_name_H-M 'P 1'
_symmetry_Int_Tables_number 1
loop_
_symmetry_equiv_pos_as_xyz
'x,y,z'
loop_
_atom_site_label
_atom_site_fract_x
_atom_site_fract_y
_atom_site_fract_z
Sm1 0.0000 0.0000 0.0000
Eu1 0.2500 0.2500 0.2500
Eu2 0.7500 0.7500 0.7500
In1 0.5000 0.5000 0.5000
# SG: Fm-3m, No. 225
# calculated density: 7.3 g cm⁻³

***

*ii*
# SmEu2In | Alexandria | PBE | optimized geometry
data_SmEu2In
_chemical_formula_sum 'Sm1 Eu2 In1'
_cell_length_a 5.2487
_cell_length_b 4.9517
_cell_length_c 4.9517
_cell_angle_alpha 90.00
_cell_angle_beta 90.00
_cell_angle_gamma 90.00
_symmetry_space_group_name_H-M 'P 1'
_symmetry_Int_Tables_number 1
loop_
_symmetry_equiv_pos_as_xyz
'x,y,z'
loop_
_atom_site_label
_atom_site_fract_x
_atom_site_fract_y
_atom_site_fract_z
Eu1 0.0000 0.0000 0.5000
Eu2 0.0000 0.5000 0.0000
In1 0.5000 0.5000 0.5000
Sm1 0.5000 0.0000 0.0000
# SG: P4/mmm, No. 123
# calculated density: 7.3 g cm⁻³

***

*iii*
# SmEu2In | Alexandria | PBE | optimized geometry
data_SmEu2In
_chemical_formula_sum 'Sm1 Eu2 In1'
_cell_length_a 3.8880
_cell_length_b 3.8880
_cell_length_c 8.9896
_cell_angle_alpha 90.00
_cell_angle_beta 90.00
_cell_angle_gamma 90.00
_symmetry_space_group_name_H-M 'P 1'
_symmetry_Int_Tables_number 1
loop_
_symmetry_equiv_pos_as_xyz
'x,y,z'
loop_
_atom_site_label
_atom_site_fract_x
_atom_site_fract_y
_atom_site_fract_z
Eu1 0.0000 0.0000 0.2173
Eu2 0.0000 0.0000 0.7827
In1 0.5000 0.5000 0.0000
Sm1 0.5000 0.5000 0.5000
# SG: P4/mmm, No. 123
# calculated density: 7.0 g cm⁻³

***

What is the stability order? It is *ii*, *iii*, *i*, from most stable to least stable.

***

*i*
# Sm2EuIn | Alexandria | PBE | optimized geometry
data_Sm2EuIn
_chemical_formula_sum 'Sm2 Eu1 In1'
_cell_length_a 5.5859
_cell_length_b 5.5859
_cell_length_c 5.5859
_cell_angle_alpha 60.00
_cell_angle_beta 60.00
_cell_angle_gamma 60.00
_symmetry_space_group_name_H-M 'P 1'
_symmetry_Int_Tables_number 1
loop_
_symmetry_equiv_pos_as_xyz
'x,y,z'
loop_
_atom_site_label
_atom_site_fract_x
_atom_site_fract_y
_atom_site_fract_z
Sm1 0.2500 0.2500 0.2500
Sm2 0.7500 0.7500 0.7500
In1 0.5000 0.5000 0.5000
Eu1 0.0000 0.0000 0.0000
# SG: Fm-3m, No. 225
# calculated density: 7.6 g cm⁻³

***

*ii*
# Sm2EuIn | Alexandria | PBE | optimized geometry
data_Sm2EuIn
_chemical_formula_sum 'Sm2 Eu1 In1'
_cell_length_a 4.8716
_cell_length_b 5.0364
_cell_length_c 5.0364
_cell_angle_alpha 90.00
_cell_angle_beta 90.00
_cell_angle_gamma 90.00
_symmetry_space_group_name_H-M 'P 1'
_symmetry_Int_Tables_number 1
loop_
_symmetry_equiv_pos_as_xyz
'x,y,z'
loop_
_atom_site_label
_atom_site_fract_x
_atom_site_fract_y
_atom_site_fract_z
Sm1 0.0000 0.5000 0.0000
Sm2 0.0000 0.0000 0.5000
Eu1 0.5000 0.5000 0.5000
In1 0.5000 0.0000 0.0000
# SG: P4/mmm, No. 123
# calculated density: 7.6 g cm⁻³

***

*iii*
# Sm2EuIn | Alexandria | PBE | optimized geometry
data_Sm2EuIn
_chemical_formula_sum 'Sm2 Eu1 In1'
_cell_length_a 3.7434
_cell_length_b 3.7434
_cell_length_c 9.3409
_cell_angle_alpha 90.00
_cell_angle_beta 90.00
_cell_angle_gamma 90.00
_symmetry_space_group_name_H-M 'P 1'
_symmetry_Int_Tables_number 1
loop_
_symmetry_equiv_pos_as_xyz
'x,y,z'
loop_
_atom_site_label
_atom_site_fract_x
_atom_site_fract_y
_atom_site_fract_z
In1 0.5000 0.5000 0.0000
Sm1 0.0000 0.0000 0.2131
Sm2 0.0000 0.0000 0.7869
Eu1 0.5000 0.5000 0.5000
# SG: P4/mmm, No. 123
# calculated density: 7.2 g cm⁻³

***

What is the stability order? It is *ii*, *iii*, *i*, from most stable to least stable.

***

*i*
# TbEu2In | Alexandria | PBE | optimized geometry
data_TbEu2In
_chemical_formula_sum 'Tb1 Eu2 In1'
_cell_length_a 5.6664
_cell_length_b 5.6664
_cell_length_c 5.6664
_cell_angle_alpha 60.00
_cell_angle_beta 60.00
_cell_angle_gamma 60.00
_symmetry_space_group_name_H-M 'P 1'
_symmetry_Int_Tables_number 1
loop_
_symmetry_equiv_pos_as_xyz
'x,y,z'
loop_
_atom_site_label
_atom_site_fract_x
_atom_site_fract_y
_atom_site_fract_z
Tb1 0.0000 0.0000 0.0000
Eu1 0.7500 0.7500 0.7500
Eu2 0.2500 0.2500 0.2500
In1 0.5000 0.5000 0.5000
# SG: Fm-3m, No. 225
# calculated density: 7.5 g cm⁻³

***

*ii*
# TbEu2In | Alexandria | PBE | optimized geometry
data_TbEu2In
_chemical_formula_sum 'Tb1 Eu2 In1'
_cell_length_a 3.7048
_cell_length_b 3.7048
_cell_length_c 9.8079
_cell_angle_alpha 90.00
_cell_angle_beta 90.00
_cell_angle_gamma 90.00
_symmetry_space_group_name_H-M 'P 1'
_symmetry_Int_Tables_number 1
loop_
_symmetry_equiv_pos_as_xyz
'x,y,z'
loop_
_atom_site_label
_atom_site_fract_x
_atom_site_fract_y
_atom_site_fract_z
Eu1 0.0000 0.0000 0.7754
Eu2 0.0000 0.0000 0.2246
Tb1 0.5000 0.5000 0.5000
In1 0.5000 0.5000 0.0000
# SG: P4/mmm, No. 123
# calculated density: 7.1 g cm⁻³

***

*iii*
# TbEu2In | Alexandria | PBE | optimized geometry
data_TbEu2In
_chemical_formula_sum 'Tb1 Eu2 In1'
_cell_length_a 5.2173
_cell_length_b 4.9216
_cell_length_c 4.9216
_cell_angle_alpha 90.00
_cell_angle_beta 90.00
_cell_angle_gamma 90.00
_symmetry_space_group_name_H-M 'P 1'
_symmetry_Int_Tables_number 1
loop_
_symmetry_equiv_pos_as_xyz
'x,y,z'
loop_
_atom_site_label
_atom_site_fract_x
_atom_site_fract_y
_atom_site_fract_z
Eu1 0.0000 0.0000 0.5000
Eu2 0.0000 0.5000 0.0000
Tb1 0.5000 0.5000 0.5000
In1 0.5000 0.0000 0.0000
# SG: P4/mmm, No. 123
# calculated density: 7.6 g cm⁻³

***

What is the stability order? It is *iii*, *ii*, *i*, from most stable to least stable.

***

*i*
# TbEuIn | Alexandria | PBE | optimized geometry
data_TbEuIn
_chemical_formula_sum 'Tb1 Eu1 In1'
_cell_length_a 3.6243
_cell_length_b 5.3940
_cell_length_c 5.3940
_cell_angle_alpha 120.00
_cell_angle_beta 90.00
_cell_angle_gamma 90.00
_symmetry_space_group_name_H-M 'P 1'
_symmetry_Int_Tables_number 1
loop_
_symmetry_equiv_pos_as_xyz
'x,y,z'
loop_
_atom_site_label
_atom_site_fract_x
_atom_site_fract_y
_atom_site_fract_z
In1 0.6261 0.6667 0.3333
Tb1 0.3946 0.3333 0.6667
Eu1 0.9794 0.0000 0.0000
# SG: P3m1, No. 156
# calculated density: 7.7 g cm⁻³

***

*ii*
# TbEuIn | Alexandria | PBE | optimized geometry
data_TbEuIn
_chemical_formula_sum 'Tb1 Eu1 In1'
_cell_length_a 3.7670
_cell_length_b 3.7670
_cell_length_c 7.1938
_cell_angle_alpha 105.18
_cell_angle_beta 105.18
_cell_angle_gamma 90.00
_symmetry_space_group_name_H-M 'P 1'
_symmetry_Int_Tables_number 1
loop_
_symmetry_equiv_pos_as_xyz
'x,y,z'
loop_
_atom_site_label
_atom_site_fract_x
_atom_site_fract_y
_atom_site_fract_z
In1 0.6244 0.6244 0.2488
Tb1 0.2619 0.2619 0.5238
Eu1 0.9637 0.9637 0.9274
# SG: I4mm, No. 107
# calculated density: 7.5 g cm⁻³

***

What is the stability order? It is *ii*, *i*, from most stable to least stable.